# Tb2PrDy5Tm | Alexandria via LeMat-Bulk | GGA-PBE | optimized geometry
data_Tb2PrDy5Tm
_symmetry_space_group_name_H-M 'P 1'
_symmetry_Int_Tables_number 1
_cell_length_a 9.687
_cell_length_b 9.687
_cell_length_c 9.687
_cell_angle_alpha 124.87
_cell_angle_beta 124.87
_cell_angle_gamma 81.75
loop_
_symmetry_equiv_pos_as_xyz
'x,y,z'
loop_
_atom_site_label
_atom_site_fract_x
_atom_site_fract_y
_atom_site_fract_z
Tb1 0.112 0.612 0.725
Tb2 0.388 0.112 0.500
Tb3 0.612 0.888 0.500
Tb4 0.888 0.388 0.275
Pr1 0.250 0.250 0.000
Pr2 0.750 0.750 0.000
Dy1 0.000 0.000 0.000
Dy2 0.073 0.162 0.500
Dy3 0.162 0.662 0.089
Dy4 0.338 0.427 0.500
Dy5 0.427 0.927 0.089
Dy6 0.500 0.500 0.000
Dy7 0.573 0.073 0.911
Dy8 0.662 0.573 0.500
Dy9 0.838 0.338 0.911
Dy10 0.927 0.838 0.500
Tm1 0.250 0.750 0.500
Tm2 0.750 0.250 0.500
# Electronic total energy in eV per atom: -4.323
# Density in g/cm3: 8.125
# N(E_F) in states/eV/f.u.: 11.73
# Energy of formation in eV/atom: 0.290
# Space-group type: I4/mcm (140)

# Tb3Ag3GeS8 | Alexandria via LeMat-Bulk | GGA-PBE | optimized geometry
data_Tb3Ag3GeS8
_symmetry_space_group_name_H-M 'P 1'
_symmetry_Int_Tables_number 1
_cell_length_a 7.721
_cell_length_b 7.721
_cell_length_c 7.751
_cell_angle_alpha 118.52
_cell_angle_beta 118.52
_cell_angle_gamma 61.65
loop_
_symmetry_equiv_pos_as_xyz
'x,y,z'
loop_
_atom_site_label
_atom_site_fract_x
_atom_site_fract_y
_atom_site_fract_z
Tb1 0.000 0.000 0.000
Tb2 0.000 0.500 0.500
Tb3 0.500 0.000 0.500
Ag1 0.000 0.500 0.000
Ag2 0.500 0.000 0.000
Ag3 0.500 0.500 0.500
Ge1 0.500 0.500 0.000
S1 0.246 0.246 0.256
S2 0.274 0.274 0.775
S3 0.274 0.724 0.224
S4 0.276 0.726 0.776
S5 0.724 0.274 0.224
S6 0.726 0.276 0.776
S7 0.726 0.726 0.225
S8 0.754 0.754 0.744
# Formation energy (no corrections) in eV per atom: -1.025
# Electronic total energy in eV per atom: -5.030
# Density in g/cm3: 5.550
# N(E_F) in states/eV/f.u.: 1.44
# Space-group type: C2/m (12)

# Tb2Pm2Se5 | Alexandria via LeMat-Bulk | GGA-PBE | optimized geometry
data_Tb2Pm2Se5
_symmetry_space_group_name_H-M 'P 1'
_symmetry_Int_Tables_number 1
_cell_length_a 8.960
_cell_length_b 8.960
_cell_length_c 8.515
_cell_angle_alpha 116.25
_cell_angle_beta 116.25
_cell_angle_gamma 27.11
loop_
_symmetry_equiv_pos_as_xyz
'x,y,z'
loop_
_atom_site_label
_atom_site_fract_x
_atom_site_fract_y
_atom_site_fract_z
Tb1 0.096 0.096 0.444
Tb2 0.904 0.904 0.556
Pm1 0.387 0.387 0.110
Pm2 0.613 0.613 0.890
Se1 0.205 0.205 0.804
Se2 0.413 0.413 0.788
Se3 0.500 0.500 0.500
Se4 0.587 0.587 0.212
Se5 0.795 0.795 0.196
# Formation energy (no corrections) in eV per atom: -1.630
# Electronic total energy in eV per atom: -5.651
# Density in g/cm3: 6.001
# N(E_F) in states/eV/f.u.: 1.06
# Excess energy over the best structure of this formula in the dataset in eV/atom: 0.139
# Space-group type: C2/m (12)

# AcPm5Sm2 | Alexandria via LeMat-Bulk | GGA-PBE | optimized geometry
data_AcPm5Sm2
_symmetry_space_group_name_H-M 'P 1'
_symmetry_Int_Tables_number 1
_cell_length_a 7.378
_cell_length_b 14.767
_cell_length_c 5.202
_cell_angle_alpha 90.00
_cell_angle_beta 90.00
_cell_angle_gamma 90.00
loop_
_symmetry_equiv_pos_as_xyz
'x,y,z'
loop_
_atom_site_label
_atom_site_fract_x
_atom_site_fract_y
_atom_site_fract_z
Ac1 0.000 0.000 0.000
Ac2 0.500 0.500 0.000
Pm1 0.000 0.500 0.000
Pm2 0.001 0.253 0.000
Pm3 0.247 0.627 0.500
Pm4 0.253 0.127 0.500
Pm5 0.499 0.753 0.000
Pm6 0.500 0.000 0.000
Pm7 0.501 0.247 0.000
Pm8 0.747 0.873 0.500
Pm9 0.753 0.373 0.500
Pm10 0.999 0.747 0.000
Sm1 0.248 0.373 0.500
Sm2 0.252 0.873 0.500
Sm3 0.748 0.127 0.500
Sm4 0.752 0.627 0.500
# Electronic total energy in eV per atom: -4.637
# Density in g/cm3: 7.341
# N(E_F) in states/eV/f.u.: 12.56
# Excess energy over the best structure of this formula in the dataset in eV/atom: 0.000
# Energy of formation in eV/atom: 0.025
# Space-group type: Pbam (55)

# AcNd4Y | Alexandria via LeMat-Bulk | GGA-PBE | optimized geometry
data_AcNd4Y
_symmetry_space_group_name_H-M 'P 1'
_symmetry_Int_Tables_number 1
_cell_length_a 10.758
_cell_length_b 10.758
_cell_length_c 6.059
_cell_angle_alpha 90.06
_cell_angle_beta 90.06
_cell_angle_gamma 141.00
loop_
_symmetry_equiv_pos_as_xyz
'x,y,z'
loop_
_atom_site_label
_atom_site_fract_x
_atom_site_fract_y
_atom_site_fract_z
Ac1 0.053 0.947 0.750
Ac2 0.947 0.053 0.250
Nd1 0.046 0.465 0.250
Nd2 0.142 0.373 0.750
Nd3 0.373 0.142 0.250
Nd4 0.465 0.046 0.750
Nd5 0.535 0.954 0.250
Nd6 0.627 0.858 0.750
Nd7 0.858 0.627 0.250
Nd8 0.954 0.535 0.750
Y1 0.450 0.550 0.250
Y2 0.550 0.450 0.750
# Electronic total energy in eV per atom: -4.774
# Density in g/cm3: 6.719
# N(E_F) in states/eV/f.u.: 9.89
# Excess energy over the best structure of this formula in the dataset in eV/atom: 0.000
# Energy of formation in eV/atom: 0.166
# Space-group type: C2/c (15)

# PmNd2PaSb4 | Alexandria via LeMat-Bulk | GGA-PBE | optimized geometry
data_PmNd2PaSb4
_symmetry_space_group_name_H-M 'P 1'
_symmetry_Int_Tables_number 1
_cell_length_a 7.747
_cell_length_b 4.470
_cell_length_c 7.755
_cell_angle_alpha 90.00
_cell_angle_beta 109.34
_cell_angle_gamma 90.00
loop_
_symmetry_equiv_pos_as_xyz
'x,y,z'
loop_
_atom_site_label
_atom_site_fract_x
_atom_site_fract_y
_atom_site_fract_z
Pm1 0.000 0.000 0.000
Nd1 0.000 0.500 0.500
Nd2 0.500 0.000 0.500
Pa1 0.500 0.500 0.000
Sb1 0.253 0.500 0.244
Sb2 0.257 0.000 0.758
Sb3 0.743 0.000 0.242
Sb4 0.747 0.500 0.756
# Formation energy (no corrections) in eV per atom: -1.005
# Electronic total energy in eV per atom: -6.039
# Density in g/cm3: 7.547
# N(E_F) in states/eV/f.u.: 6.71
# Space-group type: P2/m (10)

# LiYScSe3 | Alexandria via LeMat-Bulk | GGA-PBE | optimized geometry
data_LiYScSe3
_symmetry_space_group_name_H-M 'P 1'
_symmetry_Int_Tables_number 1
_cell_length_a 8.041
_cell_length_b 3.889
_cell_length_c 8.649
_cell_angle_alpha 90.00
_cell_angle_beta 104.14
_cell_angle_gamma 90.00
loop_
_symmetry_equiv_pos_as_xyz
'x,y,z'
loop_
_atom_site_label
_atom_site_fract_x
_atom_site_fract_y
_atom_site_fract_z
Li1 0.091 0.250 0.089
Li2 0.909 0.750 0.911
Y1 0.194 0.250 0.732
Y2 0.806 0.750 0.268
Sc1 0.337 0.750 0.342
Sc2 0.663 0.250 0.658
Se1 0.097 0.250 0.375
Se2 0.236 0.750 0.002
Se3 0.434 0.750 0.670
Se4 0.566 0.250 0.330
Se5 0.764 0.250 0.998
Se6 0.903 0.750 0.625
# Formation energy (no corrections) in eV per atom: -1.580
# Electronic total energy in eV per atom: -5.774
# Density in g/cm3: 4.782
# N(E_F) in states/eV/f.u.: 2.93
# Space-group type: P2_1/m (11)

# K2NdTeS4 | Alexandria via LeMat-Bulk | GGA-PBE | optimized geometry
data_K2NdTeS4
_symmetry_space_group_name_H-M 'P 1'
_symmetry_Int_Tables_number 1
_cell_length_a 8.378
_cell_length_b 8.378
_cell_length_c 8.422
_cell_angle_alpha 117.35
_cell_angle_beta 117.35
_cell_angle_gamma 89.82
loop_
_symmetry_equiv_pos_as_xyz
'x,y,z'
loop_
_atom_site_label
_atom_site_fract_x
_atom_site_fract_y
_atom_site_fract_z
K1 0.000 0.000 0.000
K2 0.000 0.000 0.500
K3 0.000 0.500 0.000
K4 0.500 0.000 0.500
Nd1 0.500 0.500 0.000
Nd2 0.500 0.500 0.500
Te1 0.000 0.500 0.500
Te2 0.500 0.000 0.000
S1 0.228 0.705 0.488
S2 0.263 0.302 0.548
S3 0.295 0.772 0.012
S4 0.302 0.263 0.048
S5 0.698 0.737 0.952
S6 0.705 0.228 0.988
S7 0.737 0.698 0.452
S8 0.772 0.295 0.512
# Formation energy (no corrections) in eV per atom: -1.103
# Electronic total energy in eV per atom: -4.430
# Density in g/cm3: 3.531
# N(E_F) in states/eV/f.u.: 1.54
# Space-group type: C2/c (15)

# P2C | Alexandria via LeMat-Bulk | GGA-PBE | optimized geometry
data_P2C
_symmetry_space_group_name_H-M 'P 1'
_symmetry_Int_Tables_number 1
_cell_length_a 4.612
_cell_length_b 4.612
_cell_length_c 4.612
_cell_angle_alpha 144.42
_cell_angle_beta 122.98
_cell_angle_gamma 69.04
loop_
_symmetry_equiv_pos_as_xyz
'x,y,z'
loop_
_atom_site_label
_atom_site_fract_x
_atom_site_fract_y
_atom_site_fract_z
P1 0.000 0.000 0.000
P2 0.635 0.135 0.500
C1 0.865 0.365 0.500
# Electronic total energy in eV per atom: -6.219
# Density in g/cm3: 2.606
# N(E_F) in states/eV/f.u.: 1.28
# Excess energy over the best structure of this formula in the dataset in eV/atom: 0.031
# Energy of formation in eV/atom: 0.462
# Space-group type: Imm2 (44)

# Ta2TcIr | Alexandria via LeMat-Bulk | GGA-PBE | optimized geometry
data_Ta2TcIr
_symmetry_space_group_name_H-M 'P 1'
_symmetry_Int_Tables_number 1
_cell_length_a 9.685
_cell_length_b 9.685
_cell_length_c 9.685
_cell_angle_alpha 16.77
_cell_angle_beta 16.77
_cell_angle_gamma 16.77
loop_
_symmetry_equiv_pos_as_xyz
'x,y,z'
loop_
_atom_site_label
_atom_site_fract_x
_atom_site_fract_y
_atom_site_fract_z
Ta1 0.000 0.000 0.000
Ta2 0.242 0.242 0.242
Tc1 0.752 0.752 0.752
Ir1 0.494 0.494 0.494
# Electronic total energy in eV per atom: -10.694
# Density in g/cm3: 16.418
# N(E_F) in states/eV/f.u.: 4.74
# Energy of formation in eV/atom: 0.039
# Space-group type: R3m (160)

# PmDy5Bi6 | Alexandria via LeMat-Bulk | GGA-PBE | optimized geometry
data_PmDy5Bi6
_symmetry_space_group_name_H-M 'P 1'
_symmetry_Int_Tables_number 1
_cell_length_a 7.785
_cell_length_b 7.785
_cell_length_c 7.784
_cell_angle_alpha 99.60
_cell_angle_beta 99.60
_cell_angle_gamma 120.01
loop_
_symmetry_equiv_pos_as_xyz
'x,y,z'
loop_
_atom_site_label
_atom_site_fract_x
_atom_site_fract_y
_atom_site_fract_z
Pm1 0.000 0.000 0.000
Dy1 0.165 0.835 0.500
Dy2 0.333 0.667 0.000
Dy3 0.500 0.500 0.500
Dy4 0.667 0.333 0.000
Dy5 0.835 0.165 0.500
Bi1 0.085 0.422 0.253
Bi2 0.254 0.254 0.749
Bi3 0.422 0.085 0.253
Bi4 0.578 0.915 0.747
Bi5 0.746 0.746 0.251
Bi6 0.915 0.578 0.747
# Electronic total energy in eV per atom: -5.125
# Density in g/cm3: 9.536
# N(E_F) in states/eV/f.u.: 2.09
# Energy of formation in eV/atom: -0.871
# Space-group type: C2/m (12)